# 1
Entry from the Open Quantum Materials Database: NbCdIO2 after structural relaxation (GGA-PBE).

```
NbCdIO2
1.0
6.562 0.000 0.000
0.000 3.758 0.000
-1.948 0.000 8.736
O Cd I Nb
4 2 2 2
Cartesian
3.110 2.819 1.911
1.503 0.940 6.825
3.067 0.940 4.322
1.547 2.819 4.414
2.987 2.819 8.385
1.627 0.940 0.351
5.745 0.940 2.685
-1.131 2.819 6.051
3.506 2.819 3.632
1.108 0.940 5.104
```

Computed properties:
E_tot   -5.758 eV/atom
V   107.72 Å³/f.u.
Magnetic moment   0.13 μB/cell
Space group   P2_1/m
Crystal system   monoclinic

=====

# 2
Entry from the Open Quantum Materials Database: NdCdSbI2 after structural relaxation (GGA-PBE).

```
NdCdSbI2
1.0
4.472 0.000 0.000
-2.236 3.872 0.000
0.000 0.000 10.956
Sb I Nd Cd
1 2 1 1
Cartesian
0.000 2.582 0.107
0.000 0.000 7.327
2.236 1.291 3.461
2.236 1.291 9.328
0.000 0.000 1.689
```

Computed properties:
E_tot   -3.351 eV/atom
V   189.71 Å³/f.u.
Magnetic moment   0.00 μB/cell
Space group   P3m1
Crystal system   trigonal

=====

# 3
Entry from the Open Quantum Materials Database: CdP4I3 after structural relaxation (GGA-PBE).

```
CdP4I3
1.0
-2.743 6.264 3.760
2.743 -6.264 3.760
2.743 6.264 -3.760
P I Cd
4 3 1
Cartesian
-1.406 6.264 2.676
0.000 4.817 1.777
1.406 6.264 2.676
0.000 7.710 1.777
0.000 2.694 3.457
2.743 3.570 -0.303
2.743 0.000 2.540
0.000 0.000 1.575
```

Computed properties:
E_tot   -3.309 eV/atom
V   258.35 Å³/f.u.
Space group   Imm2
Crystal system   orthorhombic

=====

# 4
Entry from the Open Quantum Materials Database: PaCdI6 after structural relaxation (GGA-PBE).

```
PaCdI6
1.0
3.757 -7.159 0.000
3.757 7.159 0.000
-2.639 0.000 7.044
Cd Pa I
1 1 6
Cartesian
0.000 0.000 0.000
2.438 0.000 3.522
1.183 -2.143 1.723
3.692 -2.143 5.321
1.183 2.143 1.723
4.883 0.000 1.819
-0.008 0.000 5.225
3.692 2.143 5.321
```

Computed properties:
E_tot   -3.230 eV/atom
V   378.94 Å³/f.u.
Magnetic moment   1.00 μB/cell
Space group   C2/m
Crystal system   monoclinic